No. 1
# CaH4Ru (PBE-GGA, optimized geometry)
data_CaH4Ru
_cell_length_a 4.8412
_cell_length_b 4.8717
_cell_length_c 4.5236
_cell_angle_alpha 90.00
_cell_angle_beta 90.16
_cell_angle_gamma 90.00
_space_group_name_H-M_alt 'P 1 21/c 1'
_space_group_IT_number 14
_space_group_name_Hall '-P 2ybc'
loop_
_atom_site_label
_atom_site_type_symbol
_atom_site_fract_x
_atom_site_fract_y
_atom_site_fract_z
Ca1 Ca 0.0000 0.0000 0.0000
H1 H 0.1653 0.0810 0.4987
H2 H 0.3727 0.7482 0.2516
Ru1 Ru 0.5000 0.0000 0.5000
# E_tot in eV/atom: -4.42
# Total moment in μB/f.u.: 0.0
# DOS at the Fermi energy in states/eV/cell: 0.59
# V in Å³/atom: 8.89

No. 2
# Ca2SmH6Ru (PBE-GGA, optimized geometry)
data_Ca2SmH6Ru
_cell_length_a 5.0576
_cell_length_b 5.0576
_cell_length_c 6.1547
_cell_angle_alpha 90.00
_cell_angle_beta 90.00
_cell_angle_gamma 120.00
_space_group_name_H-M_alt 'P -3 m 1'
_space_group_IT_number 164
_space_group_name_Hall '-P 3 2"'
loop_
_atom_site_label
_atom_site_type_symbol
_atom_site_fract_x
_atom_site_fract_y
_atom_site_fract_z
Ca1 Ca 0.3333 0.6667 0.1597
Sm1 Sm 0.0000 0.0000 0.5000
H1 H 0.1586 0.3171 0.8304
Ru1 Ru 0.0000 0.0000 0.0000
# E_tot in eV/atom: -4.26
# Total moment in μB/f.u.: 0.0
# DOS at the Fermi energy in states/eV/cell: 3.66
# V in Å³/atom: 13.63

No. 3
# SrCa2H8Ru (PBE-GGA, optimized geometry)
data_SrCa2H8Ru
_cell_length_a 4.9492
_cell_length_b 4.9492
_cell_length_c 6.8423
_cell_angle_alpha 90.00
_cell_angle_beta 90.00
_cell_angle_gamma 120.00
_space_group_name_H-M_alt 'P -3 m 1'
_space_group_IT_number 164
_space_group_name_Hall '-P 3 2"'
loop_
_atom_site_label
_atom_site_type_symbol
_atom_site_fract_x
_atom_site_fract_y
_atom_site_fract_z
Sr1 Sr 0.0000 0.0000 0.0000
Ca1 Ca 0.3333 0.6667 0.3572
H1 H 0.1609 0.3218 0.6491
H2 H 0.3333 0.6667 0.0342
Ru1 Ru 0.0000 0.0000 0.5000
# E_tot in eV/atom: -4.03
# Total moment in μB/f.u.: 0.0
# DOS at the Fermi energy in states/eV/cell: 0.00
# V in Å³/atom: 12.10

No. 4
# Sr2CaH6Ru (PBE-GGA, optimized geometry)
data_Sr2CaH6Ru
_cell_length_a 5.3472
_cell_length_b 5.3472
_cell_length_c 6.2501
_cell_angle_alpha 90.00
_cell_angle_beta 90.00
_cell_angle_gamma 120.00
_space_group_name_H-M_alt 'P -3 m 1'
_space_group_IT_number 164
_space_group_name_Hall '-P 3 2"'
loop_
_atom_site_label
_atom_site_type_symbol
_atom_site_fract_x
_atom_site_fract_y
_atom_site_fract_z
Sr1 Sr 0.3333 0.6667 0.1627
Ca1 Ca 0.0000 0.0000 0.5000
H1 H 0.1501 0.3002 0.8336
Ru1 Ru 0.0000 0.0000 0.0000
# E_tot in eV/atom: -3.93
# Total moment in μB/f.u.: 0.0
# DOS at the Fermi energy in states/eV/cell: 2.96
# V in Å³/atom: 15.48

No. 5
# SrCa2H6Ru (PBE-GGA, optimized geometry)
data_SrCa2H6Ru
_cell_length_a 5.0408
_cell_length_b 5.0408
_cell_length_c 6.7223
_cell_angle_alpha 90.00
_cell_angle_beta 90.00
_cell_angle_gamma 120.00
_space_group_name_H-M_alt 'P -3 m 1'
_space_group_IT_number 164
_space_group_name_Hall '-P 3 2"'
loop_
_atom_site_label
_atom_site_type_symbol
_atom_site_fract_x
_atom_site_fract_y
_atom_site_fract_z
Sr1 Sr 0.0000 0.0000 0.0000
Ca1 Ca 0.3333 0.6667 0.3592
H1 H 0.1588 0.3176 0.6533
Ru1 Ru 0.0000 0.0000 0.5000
# E_tot in eV/atom: -3.99
# Total moment in μB/f.u.: 0.0
# DOS at the Fermi energy in states/eV/cell: 2.91
# V in Å³/atom: 14.79

No. 6
# SrCa2HRu (PBE-GGA, optimized geometry)
data_SrCa2HRu
_cell_length_a 5.3729
_cell_length_b 5.3729
_cell_length_c 5.8022
_cell_angle_alpha 90.00
_cell_angle_beta 90.00
_cell_angle_gamma 90.00
_space_group_name_H-M_alt 'P 4/m m m'
_space_group_IT_number 123
_space_group_name_Hall '-P 4 2'
loop_
_atom_site_label
_atom_site_type_symbol
_atom_site_fract_x
_atom_site_fract_y
_atom_site_fract_z
Sr1 Sr 0.0000 0.0000 0.0000
Ca1 Ca 0.0000 0.5000 0.5000
H1 H 0.5000 0.5000 0.0000
Ru1 Ru 0.0000 0.0000 0.5000
# E_tot in eV/atom: -3.20
# Total moment in μB/f.u.: 0.0
# DOS at the Fermi energy in states/eV/cell: 3.35
# V in Å³/atom: 33.50